Density functional theory data (PBE) for a geometry-optimized La5ZnPb3 structure.

Cell lengths 9.8627, 9.8627, 6.9003 Å; angles 90.00, 90.00, 120.00 degrees
Closest atoms and distances in Å follow each position.
Fractional positions:
Zn 0.0000 0.0000 0.0000  6 La 3.18, 2 Zn 3.45
Zn 0.0000 0.0000 0.5000  6 La 3.18, 2 Zn 3.45
Pb 0.6249 0.0000 0.2500  9 La 3.31-3.60
Pb 0.0000 0.6249 0.2500  9 La 3.31-3.60
Pb 0.0000 0.3751 0.7500  9 La 3.31-3.60
Pb 0.6249 0.6249 0.7500  9 La 3.31-3.60
Pb 0.3751 0.0000 0.7500  9 La 3.31-3.60
Pb 0.3751 0.3751 0.2500  9 La 3.31-3.60
La 0.0000 0.2706 0.2500  2 Zn 3.18, 3 Pb 3.31-3.49
La 0.3333 0.6667 0.0000  2 La 3.45, 6 Pb 3.55
La 0.2706 0.2706 0.7500  2 Zn 3.18, 3 Pb 3.31-3.49
La 0.7294 0.7294 0.2500  2 Zn 3.18, 3 Pb 3.31-3.49
La 0.0000 0.7294 0.7500  2 Zn 3.18, 3 Pb 3.31-3.49
La 0.7294 0.0000 0.7500  2 Zn 3.18, 3 Pb 3.31-3.49
La 0.6667 0.3333 0.0000  2 La 3.45, 6 Pb 3.55
La 0.3333 0.6667 0.5000  2 La 3.45, 6 Pb 3.55
La 0.6667 0.3333 0.5000  2 La 3.45, 6 Pb 3.55
La 0.2706 0.0000 0.2500  2 Zn 3.18, 3 Pb 3.31-3.49

Values from the calculation:
The space group is P6_3/mcm. Its energy of formation is -544 meV per atom.